This record from Alexandria describes a relaxed structure of LiPm2Zn. The functional is PBE-GGA.

Summary:
Excess energy over the best structure of this formula in the dataset = 11 meV per atom
N(E_F) = 6.223 states/eV per cell

```
LiPm2Zn
1.0
-3.786 0.581 3.568
-4.604 -2.403 -0.655
-1.321 -4.012 3.092
Pm Li Zn
2 1 1
Cartesian
-2.428 -1.458 1.501 Pm
-7.284 -4.375 4.504 Pm
0.000 0.000 0.000 Li
-4.856 -2.917 3.002 Zn
```

=====

This record from Alexandria describes a relaxed structure of Cd2NiH2. The functional is PBE-GGA.

Summary:
Excess energy over the best structure of this formula in the dataset = 151 meV per atom
N(E_F) = 1.152 states/eV per cell

```
Cd2NiH2
1.0
3.061 0.000 0.000
0.000 3.061 0.000
1.531 1.531 6.558
H Cd Ni
2 2 1
Cartesian
1.531 3.061 3.279 H
3.061 1.531 3.279 H
1.531 1.531 1.727 Cd
3.061 3.061 4.831 Cd
0.000 0.000 0.000 Ni
```

=====

This record from Alexandria describes a relaxed structure of YAgGe2. The functional is PBE-GGA.

Summary:
Electronic total energy = -20.16 eV for the cell shown
N(E_F) = 1.022 states/eV per cell

```
YAgGe2
1.0
4.134 0.000 0.000
0.000 4.416 0.000
0.000 0.000 4.416
Y Ag Ge
1 1 2
Cartesian
2.067 0.000 0.000 Y
2.067 2.208 2.208 Ag
0.000 2.208 0.000 Ge
0.000 0.000 2.208 Ge
```

=====

This record from Alexandria describes a relaxed structure of TaIn2ReSb. The functional is PBE-GGA.

Summary:
Electronic total energy = -23.43 eV for the cell shown
N(E_F) = 7.675 states/eV per cell

```
TaIn2ReSb
1.0
5.334 0.000 0.000
0.000 4.858 0.000
0.000 0.000 5.334
In Sb Ta Re
2 1 1 1
Cartesian
0.000 0.000 2.667 In
2.667 0.000 0.000 In
0.000 0.000 0.000 Sb
2.667 2.429 2.667 Ta
0.000 2.429 0.000 Re
```

=====

This record from Alexandria describes a relaxed structure of LiPdRu2N. The functional is PBE-GGA.

Summary:
Excess energy over the best structure of this formula in the dataset = 0 meV per atom
N(E_F) = 2.386 states/eV per cell

```
LiPdRu2N
1.0
-3.050 0.895 2.326
-2.416 -0.162 -3.106
-0.630 -3.952 0.695
Ru N Pd Li
2 1 1 1
Cartesian
-1.208 -0.081 -1.553 Ru
-1.525 0.448 1.163 Ru
0.000 0.000 0.000 N
-3.048 -1.609 -0.042 Pd
-0.315 -1.976 0.348 Li
```

=====

This record from Alexandria describes a relaxed structure of La3MnGe. The functional is PBE-GGA.

Summary:
Electronic total energy = -29.33 eV for the cell shown
N(E_F) = 2.886 states/eV per cell

```
La3MnGe
1.0
-2.133 -3.626 -2.980
4.524 -0.719 -2.363
1.246 -3.593 3.480
La Mn Ge
3 1 1
Cartesian
-1.066 -1.813 -1.490 La
0.623 -1.797 1.740 La
2.262 -0.360 -1.182 La
0.000 0.000 0.000 Mn
1.819 -3.969 -0.931 Ge
```

=====

This record from Alexandria describes a relaxed structure of Sm3Ga2Rh3. The functional is PBE-GGA.

Summary:
Excess energy over the best structure of this formula in the dataset = 5 meV per atom
N(E_F) = 7.655 states/eV per cell

```
Sm3Ga2Rh3
1.0
-1.117 2.119 3.268
5.076 -3.362 1.403
8.218 10.687 -4.121
Rh Sm Ga
6 6 4
Cartesian
0.753 1.051 2.088 Rh
11.424 8.393 -1.538 Rh
7.128 8.298 -0.433 Rh
5.049 1.145 0.983 Rh
4.133 5.446 0.393 Rh
8.044 3.997 0.157 Rh
2.905 3.013 1.551 Sm
6.475 3.265 2.607 Sm
9.272 6.431 -1.002 Sm
7.991 9.155 -3.206 Sm
4.186 0.289 3.755 Sm
5.702 6.179 -2.058 Sm
2.716 -0.160 1.032 Ga
6.705 6.019 0.900 Ga
9.461 9.603 -0.482 Ga
5.472 3.424 -0.351 Ga
```

=====

This record from Alexandria describes a relaxed structure of Rb2SnS2. The functional is PBE-GGA.

Summary:
Excess energy over the best structure of this formula in the dataset = 0 meV per atom

```
Rb2SnS2
1.0
0.186 -4.379 -7.099
0.552 -7.348 4.547
-10.167 0.948 2.766
S Rb Sn
8 8 4
Cartesian
-5.294 -3.336 -4.059 S
-0.857 -10.313 -0.798 S
-4.272 -6.574 -1.170 S
-8.252 -5.683 -0.664 S
-5.157 -4.206 1.384 S
-1.178 -5.096 0.878 S
-8.572 -0.467 1.012 S
-4.135 -7.443 4.273 S
-9.155 -8.963 -0.821 Rb
-2.756 -8.184 1.290 Rb
-2.784 -8.757 -3.259 Rb
-6.645 -2.023 3.473 Rb
-6.673 -2.596 -1.076 Rb
-9.260 -6.609 2.627 Rb
-0.274 -1.817 1.035 Rb
-0.169 -4.171 -2.413 Rb
-6.155 -6.455 0.600 Sn
-6.109 -6.122 5.299 Sn
-3.321 -4.658 -5.085 Sn
-3.274 -4.325 -0.386 Sn
```

=====

This record from Alexandria describes a relaxed structure of KSbS2. The functional is PBE-GGA.

Summary:
Electronic total energy = -15.12 eV for the cell shown
N(E_F) = 0.000 states/eV per cell

```
KSbS2
1.0
3.848 7.335 3.718
6.035 6.777 0.298
2.443 8.744 0.136
Sb S K
1 2 1
Cartesian
6.163 11.428 2.076 Sb
1.359 2.520 0.458 S
10.967 20.335 3.694 S
0.000 0.000 0.000 K
```

=====

This record from Alexandria describes a relaxed structure of LaHfAg. The functional is PBE-GGA.

Summary:
Excess energy over the best structure of this formula in the dataset = 987 meV per atom
N(E_F) = 0.352 states/eV per cell

```
LaHfAg
1.0
-2.425 2.148 3.717
0.431 4.855 0.745
-3.809 2.986 -0.941
Ag Hf La
1 1 1
Cartesian
-4.353 7.492 2.641 Ag
-1.451 2.497 0.880 Hf
0.000 0.000 0.000 La
```

=====

This record from Alexandria describes a relaxed structure of PmHfAu. The functional is PBE-GGA.

Summary:
Electronic total energy = -19.06 eV for the cell shown
N(E_F) = 4.123 states/eV per cell

```
PmHfAu
1.0
3.456 0.000 0.000
0.000 3.456 0.000
-1.728 -1.728 6.096
Hf Au Pm
1 1 1
Cartesian
1.728 1.728 2.310 Hf
0.000 0.000 3.780 Au
0.000 0.000 0.006 Pm
```

=====

This record from Alexandria describes a relaxed structure of Sr2ZrTi. The functional is PBE-GGA.

Summary:
Excess energy over the best structure of this formula in the dataset = 108 meV per atom
N(E_F) = 8.551 states/eV per cell

```
Sr2ZrTi
1.0
-2.781 7.159 -4.668
-7.079 0.822 5.477
-3.213 5.916 2.334
Zr Sr Ti
2 4 2
Cartesian
-5.461 8.533 -0.965 Zr
0.000 0.000 0.000 Zr
-5.611 2.979 3.363 Sr
-6.198 7.440 2.124 Sr
-3.390 5.964 -1.590 Sr
-10.946 11.409 2.388 Sr
-7.611 5.364 4.108 Ti
-4.930 3.990 0.404 Ti
```

=====

Please write out number 1 again, unchanged.
This record from Alexandria describes a relaxed structure of LiPm2Zn. The functional is PBE-GGA.

Summary:
Excess energy over the best structure of this formula in the dataset = 11 meV per atom
N(E_F) = 6.223 states/eV per cell

```
LiPm2Zn
1.0
-3.786 0.581 3.568
-4.604 -2.403 -0.655
-1.321 -4.012 3.092
Pm Li Zn
2 1 1
Cartesian
-2.428 -1.458 1.501 Pm
-7.284 -4.375 4.504 Pm
0.000 0.000 0.000 Li
-4.856 -2.917 3.002 Zn
```